Record 1
Ta2VGa: optimized geometry, PBE. Values from VASP.

Summary:
E_tot: -8.78 eV/atom
energy relative to the elements: 0.184 eV/atom

```
&SYSTEM
  ibrav = 0, nat = 4, ntyp = 3
/
ATOMIC_SPECIES
Ta 180.95 Ta.upf
V 50.94 V.upf
Ga 69.72 Ga.upf
ATOMIC_POSITIONS crystal
Ta 0.088 0.088 0.736
Ta 0.245 0.245 0.264
V 0.500 0.500 0.501
Ga 0.667 0.667 0.000
CELL_PARAMETERS angstrom
-2.748 0.728 -1.041
-0.696 -0.488 -2.905
-3.992 -7.795 0.689
```

---

Record 2
TaV4Ga2: optimized geometry, PBE. Values from VASP.

Summary:
E_tot: -6.67 eV/atom
energy relative to the elements: 1.098 eV/atom
offset from the most stable computed form: 106.2 kJ per mole of atoms

```
&SYSTEM
  ibrav = 0, nat = 7, ntyp = 3
/
ATOMIC_SPECIES
V 50.94 V.upf
Ga 69.72 Ga.upf
Ta 180.95 Ta.upf
ATOMIC_POSITIONS crystal
V 0.190 0.190 0.619
V 0.810 0.810 0.381
V 0.000 0.500 0.000
V 0.500 0.000 0.000
Ga 0.386 0.386 0.227
Ga 0.614 0.614 0.773
Ta 0.000 0.000 0.000
CELL_PARAMETERS angstrom
4.605 0.000 0.000
0.000 4.605 0.000
2.302 2.302 6.535
```

---

Record 3
TaV3Ga: optimized geometry, PBE. Values from VASP.

Summary:
E_tot: -8.50 eV/atom
energy relative to the elements: -0.048 eV/atom
offset from the most stable computed form: 0.0 kJ per mole of atoms

```
&SYSTEM
  ibrav = 0, nat = 10, ntyp = 3
/
ATOMIC_SPECIES
Ta 180.95 Ta.upf
V 50.94 V.upf
Ga 69.72 Ga.upf
ATOMIC_POSITIONS crystal
Ta 0.699 0.852 0.404
Ta 0.301 0.148 0.596
V 0.599 0.591 0.762
V 0.119 0.684 0.508
V 0.401 0.409 0.238
V 0.881 0.316 0.492
V 0.158 0.677 0.037
V 0.842 0.323 0.963
Ga 0.000 0.000 0.000
Ga 0.500 0.000 0.000
CELL_PARAMETERS angstrom
-1.167 -4.768 0.969
6.920 -0.220 -1.181
-1.519 1.511 4.473
```

---

Record 4
TaV12Ga6: optimized geometry, PBE. Values from VASP.

Summary:
E_tot: -7.32 eV/atom
energy relative to the elements: 0.016 eV/atom

```
&SYSTEM
  ibrav = 0, nat = 19, ntyp = 3
/
ATOMIC_SPECIES
Ta 180.95 Ta.upf
V 50.94 V.upf
Ga 69.72 Ga.upf
ATOMIC_POSITIONS crystal
Ta 0.000 0.000 0.000
V 0.803 0.520 0.434
V 0.434 0.803 0.520
V 0.520 0.434 0.803
V 0.197 0.480 0.566
V 0.566 0.197 0.480
V 0.480 0.566 0.197
V 0.063 0.148 0.378
V 0.852 0.622 0.937
V 0.622 0.937 0.852
V 0.937 0.852 0.622
V 0.148 0.378 0.063
V 0.378 0.063 0.148
Ga 0.719 0.877 0.266
Ga 0.734 0.281 0.123
Ga 0.123 0.734 0.281
Ga 0.281 0.123 0.734
Ga 0.266 0.719 0.877
Ga 0.877 0.266 0.719
CELL_PARAMETERS angstrom
6.479 0.451 0.541
-0.536 6.472 0.541
-0.536 -0.624 6.465
```

---

Record 5
Ta3VGa4: optimized geometry, PBE. Values from VASP.

Summary:
E_tot: -7.22 eV/atom
energy relative to the elements: -0.125 eV/atom

```
&SYSTEM
  ibrav = 0, nat = 16, ntyp = 3
/
ATOMIC_SPECIES
Ta 180.95 Ta.upf
V 50.94 V.upf
Ga 69.72 Ga.upf
ATOMIC_POSITIONS crystal
Ta 0.462 0.973 0.000
Ta 0.190 0.742 0.251
Ta 0.690 0.258 0.249
Ta 0.962 0.027 0.500
Ta 0.690 0.258 0.751
Ta 0.190 0.742 0.749
V 0.915 0.523 0.000
V 0.415 0.477 0.500
Ga 0.956 0.014 0.000
Ga 0.422 0.480 0.000
Ga 0.190 0.247 0.236
Ga 0.690 0.753 0.264
Ga 0.922 0.520 0.500
Ga 0.456 0.986 0.500
Ga 0.690 0.753 0.736
Ga 0.190 0.247 0.764
CELL_PARAMETERS angstrom
-5.358 -1.204 0.249
1.213 -4.994 1.960
-0.314 3.032 7.920
```

---

Record 6
TaV4Ga: optimized geometry, PBE. Values from VASP.

Summary:
E_tot: -8.52 eV/atom
energy relative to the elements: 0.038 eV/atom
offset from the most stable computed form: 10.0 kJ per mole of atoms

```
&SYSTEM
  ibrav = 0, nat = 6, ntyp = 3
/
ATOMIC_SPECIES
V 50.94 V.upf
Ga 69.72 Ga.upf
Ta 180.95 Ta.upf
ATOMIC_POSITIONS crystal
V 0.623 0.623 0.131
V 0.623 0.131 0.623
V 0.623 0.623 0.623
V 0.131 0.623 0.623
Ga 0.000 0.000 0.000
Ta 0.250 0.250 0.250
CELL_PARAMETERS angstrom
-2.685 -4.191 -0.456
0.282 -3.544 3.513
-3.884 -0.823 3.037
```

---

Record 7
TaV5Ga2: optimized geometry, PBE. Values from VASP.

Summary:
E_tot: -7.94 eV/atom
energy relative to the elements: 0.002 eV/atom

```
&SYSTEM
  ibrav = 0, nat = 8, ntyp = 3
/
ATOMIC_SPECIES
Ta 180.95 Ta.upf
V 50.94 V.upf
Ga 69.72 Ga.upf
ATOMIC_POSITIONS crystal
Ta 0.000 0.000 0.000
V 0.000 0.500 0.500
V 0.623 0.607 0.148
V 0.377 0.393 0.852
V 0.377 0.852 0.393
V 0.623 0.148 0.607
Ga 0.744 0.756 0.756
Ga 0.256 0.244 0.244
CELL_PARAMETERS angstrom
-1.175 -2.417 -0.342
5.301 -3.863 -1.650
1.268 -2.976 5.940
```

---

Record 8
TaVGa2: optimized geometry, PBE. Values from VASP.

Summary:
E_tot: -6.88 eV/atom
energy relative to the elements: -0.119 eV/atom
offset from the most stable computed form: 1.9 kJ per mole of atoms

```
&SYSTEM
  ibrav = 0, nat = 4, ntyp = 3
/
ATOMIC_SPECIES
V 50.94 V.upf
Ga 69.72 Ga.upf
Ta 180.95 Ta.upf
ATOMIC_POSITIONS crystal
V 0.500 0.500 0.000
Ga 0.000 0.000 0.762
Ga 0.000 0.000 0.238
Ta 0.500 0.500 0.500
CELL_PARAMETERS angstrom
2.778 0.000 0.000
0.000 2.778 0.000
0.000 0.000 8.020
```

---

Record 9
Ta6VGa2: optimized geometry, PBE. Values from VASP.

Summary:
E_tot: -9.13 eV/atom
energy relative to the elements: 0.462 eV/atom

```
&SYSTEM
  ibrav = 0, nat = 9, ntyp = 3
/
ATOMIC_SPECIES
Ta 180.95 Ta.upf
V 50.94 V.upf
Ga 69.72 Ga.upf
ATOMIC_POSITIONS crystal
Ta 0.157 0.406 0.319
Ta 0.843 0.088 0.681
Ta 0.843 0.594 0.681
Ta 0.500 0.241 0.000
Ta 0.157 0.912 0.319
Ta 0.500 0.759 0.000
V 0.000 0.000 0.000
Ga 0.667 0.670 0.341
Ga 0.333 0.330 0.659
CELL_PARAMETERS angstrom
-3.600 -1.026 -2.324
3.404 -3.210 -3.854
-0.777 -3.184 6.734
```

---

Record 10
Ta3VGa2: optimized geometry, PBE. Values from VASP.

Summary:
E_tot: -8.53 eV/atom
energy relative to the elements: -0.074 eV/atom

```
&SYSTEM
  ibrav = 0, nat = 12, ntyp = 3
/
ATOMIC_SPECIES
Ta 180.95 Ta.upf
V 50.94 V.upf
Ga 69.72 Ga.upf
ATOMIC_POSITIONS crystal
Ta 0.419 0.658 0.751
Ta 0.259 0.000 0.242
Ta 0.581 0.342 0.249
Ta 0.923 0.658 0.249
Ta 0.077 0.342 0.751
Ta 0.741 0.000 0.758
V 0.664 0.672 0.000
V 0.336 0.328 0.000
Ga 0.000 0.000 0.000
Ga 0.500 0.000 0.500
Ga 0.164 0.672 0.500
Ga 0.836 0.328 0.500
CELL_PARAMETERS angstrom
-3.369 -0.952 -2.703
-3.937 -3.355 2.467
-7.518 5.933 0.041
```

---

Record 11
Ta2V3Ga2: optimized geometry, PBE. Values from VASP.

Summary:
E_tot: -8.23 eV/atom
energy relative to the elements: -0.070 eV/atom

```
&SYSTEM
  ibrav = 0, nat = 7, ntyp = 3
/
ATOMIC_SPECIES
Ta 180.95 Ta.upf
V 50.94 V.upf
Ga 69.72 Ga.upf
ATOMIC_POSITIONS crystal
Ta 0.917 0.835 0.282
Ta 0.083 0.165 0.718
V 0.500 0.000 0.000
V 0.623 0.246 0.439
V 0.377 0.754 0.561
Ga 0.788 0.577 0.820
Ga 0.212 0.423 0.180
CELL_PARAMETERS angstrom
4.392 0.000 0.000
-2.196 4.515 1.120
0.000 -0.947 5.210
```

---

Record 12
Ta2VGa: optimized geometry, PBE. Values from VASP.

Summary:
E_tot: -8.82 eV/atom
energy relative to the elements: 0.146 eV/atom

```
&SYSTEM
  ibrav = 0, nat = 4, ntyp = 3
/
ATOMIC_SPECIES
V 50.94 V.upf
Ga 69.72 Ga.upf
Ta 180.95 Ta.upf
ATOMIC_POSITIONS crystal
V 0.500 0.500 0.500
Ga 0.000 0.000 0.000
Ta 0.247 0.247 0.259
Ta 0.753 0.753 0.741
CELL_PARAMETERS angstrom
-1.172 -2.015 1.900
1.257 -0.431 2.698
-5.100 5.346 4.907
```